No. 1
## InSbPdPt4 (PBE-GGA)

Data for InSbPdPt4 after structural relaxation.

Structure (POSCAR):
```
InSbPdPt4
1.0
4.072 0.000 0.000
0.000 4.072 0.000
0.000 0.000 7.535
Pt In Sb Pd
4 1 1 1
Direct
0.000 0.500 0.267 Pt
0.500 0.000 0.733 Pt
0.500 0.000 0.267 Pt
0.000 0.500 0.733 Pt
0.000 0.000 0.000 In
0.500 0.500 0.500 Sb
0.500 0.500 0.000 Pd
```

Values from the calculation:
E_tot in eV/atom: -5.57
SG: No. 123
Mass density in Mg/m³: 14.933

No. 2
## Sc3In3Pd2Pt (PBE-GGA)

Data for Sc3In3Pd2Pt after structural relaxation.

Structure (POSCAR):
```
Sc3In3Pd2Pt
1.0
7.645 0.000 0.000
-3.823 6.621 0.000
0.000 0.000 3.513
Pt In Sc Pd
1 3 3 2
Direct
0.000 0.000 0.000 Pt
0.277 0.277 0.500 In
0.000 0.723 0.500 In
0.723 0.000 0.500 In
0.393 0.000 0.000 Sc
0.607 0.607 0.000 Sc
0.000 0.393 0.000 Sc
0.667 0.333 0.500 Pd
0.333 0.667 0.500 Pd
```

Values from the calculation:
E_tot in eV/atom: -5.62
SG: No. 189
Mass density in Mg/m³: 8.285

No. 3
## Sm3In3PdPt2 (PBE-GGA)

Data for Sm3In3PdPt2 after structural relaxation.

Structure (POSCAR):
```
Sm3In3PdPt2
1.0
-0.465 1.908 7.460
6.630 -2.684 -2.889
1.125 3.730 -0.884
Sm In Pt Pd
3 3 2 1
Direct
0.587 0.000 0.500 Sm
0.413 0.413 0.500 Sm
0.000 0.587 0.500 Sm
0.000 0.254 0.000 In
0.746 0.746 0.000 In
0.254 0.000 0.000 In
0.333 0.667 0.000 Pt
0.667 0.333 0.000 Pt
0.000 0.000 0.500 Pd
```

Values from the calculation:
E_tot in eV/atom: -5.34
SG: No. 189
Mass density in Mg/m³: 10.423

No. 4
## Sm2In2Pd3Pt (PBE-GGA)

Data for Sm2In2Pd3Pt after structural relaxation.

Structure (POSCAR):
```
Sm2In2Pd3Pt
1.0
-3.242 0.208 3.313
-1.059 -1.719 -4.178
2.355 -8.318 2.826
Pt In Pd Sm
1 2 3 2
Direct
0.333 0.667 0.086 Pt
0.667 0.333 0.001 In
0.667 0.333 0.501 In
0.333 0.667 0.417 Pd
0.000 0.000 0.912 Pd
0.000 0.000 0.584 Pd
0.333 0.667 0.752 Sm
0.000 0.000 0.246 Sm
```

Values from the calculation:
E_tot in eV/atom: -5.41
SG: No. 156
Mass density in Mg/m³: 10.229

No. 5
## Sm2In2PdPt3 (PBE-GGA)

Data for Sm2In2PdPt3 after structural relaxation.

Structure (POSCAR):
```
Sm2In2PdPt3
1.0
4.621 0.000 0.000
-2.311 4.002 0.000
0.000 0.000 9.201
In Pd Sm Pt
2 1 2 3
Direct
0.667 0.333 0.500 In
0.667 0.333 0.002 In
0.000 0.000 0.914 Pd
0.000 0.000 0.252 Sm
0.333 0.667 0.746 Sm
0.000 0.000 0.592 Pt
0.333 0.667 0.083 Pt
0.333 0.667 0.411 Pt
```

Values from the calculation:
E_tot in eV/atom: -5.69
SG: No. 156
Mass density in Mg/m³: 11.924

No. 6
## SmIn2PdPt (PBE-GGA)

Data for SmIn2PdPt after structural relaxation.

Structure (POSCAR):
```
SmIn2PdPt
1.0
4.410 0.000 0.000
0.000 4.410 0.000
0.000 0.000 11.474
Pd Pt Sm In
2 2 2 4
Direct
0.000 0.000 0.000 Pd
0.500 0.500 0.000 Pd
0.500 0.000 0.357 Pt
0.000 0.500 0.643 Pt
0.500 0.000 0.739 Sm
0.000 0.500 0.261 Sm
0.500 0.000 0.130 In
0.000 0.500 0.870 In
0.500 0.500 0.500 In
0.000 0.000 0.500 In
```

Values from the calculation:
E_tot in eV/atom: -4.95
SG: No. 129
Mass density in Mg/m³: 10.142

no.,volume (Å³/cell)
1,125
2,178
3,206
4,170
5,170
6,223